The following is a SCAN calculation of a crystal of Cd3Cu4 relaxed with PBEsol, from Alexandria.

extended XYZ file:
```
7
Lattice="-1.5170 1.5170 11.3048 1.5170 -1.5170 11.3048 1.5170 1.5170 -11.3048" Properties=species:S:1:pos:R:3 pbc="T T T"
Cd 0.0000 0.0000 0.0000
Cd 0.0000 0.0000 6.7416
Cd 0.0000 0.0000 15.8679
Cu 0.0000 0.0000 2.8849
Cu 0.0000 0.0000 9.6265
Cu 0.0000 0.0000 12.9830
Cu 0.0000 0.0000 19.7246
```

Output
- Energy of formation: 0.05 eV/atom

***

The following is a SCAN calculation of a crystal of Cd17Cu12 relaxed with PBEsol, from Alexandria.

extended XYZ file:
```
29
Lattice="-4.9083 4.9083 4.9083 4.9083 -4.9083 4.9083 4.9083 4.9083 -4.9083" Properties=species:S:1:pos:R:3 pbc="T T T"
Cd 0.0000 0.0000 0.0000
Cd 1.6428 1.6428 -1.6428
Cd 4.4393 1.3872 -1.3872
Cd 1.6428 -1.6428 1.6428
Cd 4.4393 -1.3872 1.3872
Cd 5.3774 1.3872 1.3872
Cd 1.3872 4.4393 -1.3872
Cd 1.3872 -1.3872 4.4393
Cd -1.6428 1.6428 1.6428
Cd 3.5211 3.5211 0.4691
Cd 3.5211 0.4691 3.5211
Cd -1.3872 4.4393 1.3872
Cd -1.3872 1.3872 4.4393
Cd 3.2655 3.2655 3.2655
Cd 1.3872 5.3774 1.3872
Cd 1.3872 1.3872 5.3774
Cd 0.4691 3.5211 3.5211
Cu 7.1488 0.8884 -0.8884
Cu 7.1488 -0.8884 0.8884
Cu 4.0199 4.0199 -2.2405
Cu 2.6679 0.8884 0.8884
Cu 4.0199 -2.2405 4.0199
Cu 0.8884 2.6679 0.8884
Cu 0.8884 0.8884 2.6679
Cu 0.8884 7.1488 -0.8884
Cu 0.8884 -0.8884 7.1488
Cu -0.8884 7.1488 0.8884
Cu -2.2405 4.0199 4.0199
Cu -0.8884 0.8884 7.1488
```

Output
- Energy of formation: 0.08 eV/atom

***

The following is a SCAN calculation of a crystal of CdCu5 relaxed with PBEsol, from Alexandria.

extended XYZ file:
```
6
Lattice="0.0000 3.3897 3.3897 3.3897 0.0000 3.3897 3.3897 3.3897 0.0000" Properties=species:S:1:pos:R:3 pbc="T T T"
Cd 0.0000 0.0000 0.0000
Cu 2.5450 2.5450 2.5450
Cu 4.2344 4.2344 2.5450
Cu 4.2344 2.5450 4.2344
Cu 5.0845 5.0845 5.0845
Cu 2.5450 4.2344 4.2344
```

Output
- ΔE to the lowest computed polymorph: 3.7 kJ/mol of atoms
- Energy of formation: 0.09 eV/atom

***

The following is a SCAN calculation of a crystal of CdCu2 relaxed with PBEsol, from Alexandria.

extended XYZ file:
```
12
Lattice="4.9660 0.0000 0.0000 -2.4830 4.3007 0.0000 0.0000 0.0000 7.8796" Properties=species:S:1:pos:R:3 pbc="T T T"
Cd 0.0000 2.8671 0.4824
Cd 0.0000 2.8671 3.4574
Cd 2.4830 1.4336 4.4223
Cd 2.4830 1.4336 7.3972
Cu 0.0000 0.0000 0.0000
Cu 0.0000 0.0000 3.9398
Cu 0.0000 1.4528 5.9097
Cu -1.2248 3.5743 5.9097
Cu 1.2582 0.7264 1.9699
Cu 1.2248 3.5743 5.9097
Cu 3.7078 0.7264 1.9699
Cu 2.4830 2.8479 1.9699
```

Output
- Energy of formation: 0.01 eV/atom

***

The following is a SCAN calculation of a crystal of CdCu5 relaxed with PBEsol, from Alexandria.

extended XYZ file:
```
6
Lattice="1.8619 -5.5686 0.0000 1.8619 5.5686 0.0000 0.0000 0.0000 3.6522" Properties=species:S:1:pos:R:3 pbc="T T T"
Cd 0.0000 0.0000 0.0000
Cu 1.8619 3.6269 1.8261
Cu 1.8619 1.9289 0.0000
Cu 1.8619 0.0000 1.8261
Cu 1.8619 -1.9289 0.0000
Cu 1.8619 -3.6269 1.8261
```

Output
- ΔE to the lowest computed polymorph: 0.8 kJ/mol of atoms
- Energy of formation: 0.06 eV/atom

***

The following is a SCAN calculation of a crystal of CdCu5 relaxed with PBEsol, from Alexandria.

extended XYZ file:
```
6
Lattice="2.9259 0.0000 0.0000 0.0000 2.9259 0.0000 0.0000 0.0000 8.8669" Properties=species:S:1:pos:R:3 pbc="T T T"
Cd 0.0000 0.0000 0.0000
Cu 0.0000 0.0000 3.1043
Cu 0.0000 0.0000 5.7626
Cu 1.4629 1.4629 1.7821
Cu 1.4629 1.4629 4.4334
Cu 1.4629 1.4629 7.0847
```

Output
- ΔE to the lowest computed polymorph: 0.0 kJ/mol of atoms
- Energy of formation: 0.06 eV/atom